No. 1
Below is crystalline TiMn3O8 at its relaxed geometry, with properties calculated at the PBE with a Hubbard U level.

Cell: 5.8027 5.8027 9.0229 Å, 90.00 90.00 120.00°
Space group P6_3mc (No. 186)
Symmetry-distinct sites (fractional):
Ti 0.3333 0.6667 0.0000 [2 per cell]
Mn 0.1684 0.3368 0.7147 [6 per cell]
O 0.0000 0.0000 0.3177 [2 per cell]
O 0.0409 0.5204 0.8364 [6 per cell]
O 0.1670 0.3339 0.1016 [6 per cell]
O 0.3333 0.6667 0.6052 [2 per cell]

No. 2
Below is crystalline TiMnO3 at its relaxed geometry, with properties calculated at the PBE with a Hubbard U level.

Summary:
Its density of states at the Fermi level is 0.000 states/eV/atom.

Cell: 11.978 3.352 6.165 Å, 90.00 97.55 90.00°
Space group C2/m (No. 12)
Symmetry-distinct sites (fractional):
Ti 0.115 0.000 0.369 [4 per cell]
Mn 0.140 0.500 0.865 [4 per cell]
O 0.034 0.000 0.729 [4 per cell]
O 0.156 0.500 0.495 [4 per cell]
O 0.177 0.000 0.112 [4 per cell]

No. 3
Below is crystalline TiMn3O8 at its relaxed geometry, with properties calculated at the PBE with a Hubbard U level.

Cell: 5.8956 5.8956 15.0722 Å, 90.00 90.00 120.00°
Space group R-3m (No. 166, hexagonal axes)
Symmetry-distinct sites (fractional):
Ti 0.0000 0.0000 0.0000 [3 per cell]
Mn 0.0000 0.5000 0.0000 [9 per cell]
O 0.0000 0.0000 0.2697 [6 per cell]
O 0.0055 0.5027 0.2696 [18 per cell]

No. 4
Below is crystalline Ti4Mn2O at its relaxed geometry, with properties calculated at the PBE with a Hubbard U level.

Summary:
Its density of states at the Fermi level is 1.093 states/eV/atom.

Cell: 11.891 11.891 11.891 Å, 90.00 90.00 90.00°
Space group F-43m (No. 216)
Symmetry-distinct sites (fractional):
Ti 0.000 0.000 0.179 [24 per cell]
Ti 0.071 0.250 0.250 [24 per cell]
Ti 0.164 0.164 0.836 [16 per cell]
Mn 0.089 0.089 0.411 [16 per cell]
Mn 0.125 0.125 0.625 [16 per cell]
O 0.125 0.125 0.125 [16 per cell]

No. 5
Below is crystalline Ti2MnO at its relaxed geometry, with properties calculated at the PBE with a Hubbard U level.

Summary:
Its density of states at the Fermi level is 1.137 states/eV/atom.

Cell: 6.136 6.136 7.105 Å, 90.00 90.00 90.00°
Space group I-42d (No. 122)
Symmetry-distinct sites (fractional):
Ti 0.125 0.250 0.125 [8 per cell]
Mn 0.000 0.000 0.500 [4 per cell]
O 0.000 0.000 0.000 [4 per cell]

No. 6
Below is crystalline Ti3Mn3O at its relaxed geometry, with properties calculated at the PBE with a Hubbard U level.

Summary:
Its density of states at the Fermi level is 0.933 states/eV/atom.

Cell: 11.894 11.894 11.894 Å, 90.00 90.00 90.00°
Space group Fd-3m (No. 227, origin choice 2)
Symmetry-distinct sites (fractional):
Ti 0.057 0.375 0.375 [48 per cell]
Mn 0.000 0.000 0.500 [16 per cell]
Mn 0.036 0.036 0.714 [32 per cell]
O 0.000 0.000 0.000 [16 per cell]

No. 7
Below is crystalline TiMn3O at its relaxed geometry, with properties calculated at the PBE with a Hubbard U level.

Summary:
Its density of states at the Fermi level is 0.666 states/eV/atom.

Cell: 4.291 4.291 4.291 Å, 90.00 90.00 90.00°
Space group Pm-3m (No. 221)
Symmetry-distinct sites (fractional):
Ti 0.000 0.000 0.000 [1 per cell]
Mn 0.000 0.500 0.500 [3 per cell]
O 0.500 0.500 0.500 [1 per cell]

No. 8
Below is crystalline TiMn4O6 at its relaxed geometry, with properties calculated at the PBE with a Hubbard U level.

Cell: 10.495 6.058 10.672 Å, 90.00 109.88 90.00°
Space group Cc (No. 9)
Symmetry-distinct sites (fractional):
Ti 0.000 0.226 0.000 [4 per cell]
Mn 0.073 0.082 0.743 [4 per cell]
Mn 0.228 0.389 0.264 [4 per cell]
Mn 0.256 0.120 0.568 [4 per cell]
Mn 0.432 0.228 0.907 [4 per cell]
O 0.120 0.209 0.373 [4 per cell]
O 0.180 0.191 0.094 [4 per cell]
O 0.246 0.266 0.747 [4 per cell]
O 0.426 0.483 0.049 [4 per cell]
O 0.436 0.283 0.319 [4 per cell]
O 0.437 0.018 0.548 [4 per cell]

No. 9
Below is crystalline Ti2MnO at its relaxed geometry, with properties calculated at the PBE with a Hubbard U level.

Summary:
Its density of states at the Fermi level is 0.910 states/eV/atom.

Cell: 2.8392 2.8392 24.6749 Å, 90.00 90.00 120.00°
Space group R-3m (No. 166, hexagonal axes)
Symmetry-distinct sites (fractional):
Ti 0.0000 0.0000 0.1104 [6 per cell]
Mn 0.0000 0.0000 0.0000 [3 per cell]
O 0.0000 0.0000 0.5000 [3 per cell]

no.,total energy (eV/atom)
1,-7.54
2,-8.53
3,-7.51
4,-7.76
5,-7.81
6,-7.61
7,-7.12
8,-8.05
9,-7.83